# 1
The following is a DFT calculation (GGA-PBE) of Tb2PmNd3Dy6 after structural relaxation.

The calculation puts the formation enthalpy at 0 K at 14 meV per atom. The calculation puts the magnetization at 0.00 μB per formula unit. The value obtained for the final energy is -111.51 eV/cell.

The structure belongs to space group C2/m (No. 12); the cell edges are 6.224, 10.777 and 11.850 Å and the angles 90.00°, 100.05° and 90.00°. The distinct sites, in fractional coordinates, are Tb at (0.000, 0.167, 0.000), Pm at (0.000, 0.500, 0.000), Nd at (0.000, 0.000, 0.500), Nd at (0.000, 0.333, 0.500), Dy at (0.249, 0.000, 0.248) and Dy at (0.250, 0.167, 0.752).

=====

# 2
The following is a DFT calculation (GGA-PBE) of Tb2PmNd2Dy4 after structural relaxation.

The calculation puts the formation enthalpy at 0 K at -3 meV per atom. The calculation puts the magnetization at 0.00 μB per formula unit. The value obtained for the final energy is -83.96 eV/cell.

The structure belongs to space group C2/m (No. 12); the cell edges are 18.792, 3.620 and 9.618 Å and the angles 90.00°, 115.71° and 90.00°. The distinct sites, in fractional coordinates, are Tb at (0.147, 0.000, 0.163), Pm at (0.000, 0.000, 0.500), Nd at (0.166, 0.500, 0.500), Dy at (0.019, 0.500, 0.836) and Dy at (0.186, 0.000, 0.836).

=====

# 3
The following is a DFT calculation (GGA-PBE) of Tb3Pm2Nd6Dy after structural relaxation.

The calculation puts the formation enthalpy at 0 K at 12 meV per atom. The calculation puts the magnetization at 0.00 μB per formula unit. The value obtained for the final energy is -112.92 eV/cell.

The structure belongs to space group C2/m (No. 12); the cell edges are 6.307, 10.924 and 11.996 Å and the angles 90.00°, 100.09° and 90.00°. The distinct sites, in fractional coordinates, are Tb at (0.000, 0.000, 0.000), Tb at (0.000, 0.333, 0.000), Pm at (0.000, 0.167, 0.500), Nd at (0.249, 0.500, 0.248), Nd at (0.250, 0.166, 0.249) and Dy at (0.000, 0.500, 0.500).

=====

# 4
The following is a DFT calculation (GGA-PBE) of Tb2Pm6NdDy3 after structural relaxation.

The calculation puts the formation enthalpy at 0 K at 13 meV per atom. The calculation puts the magnetization at 0.00 μB per formula unit. The value obtained for the final energy is -112.37 eV/cell.

The structure belongs to space group C2/m (No. 12); the cell edges are 6.262, 10.844 and 11.931 Å and the angles 90.00°, 100.06° and 90.00°. The distinct sites, in fractional coordinates, are Tb at (0.000, 0.167, 0.000), Pm at (0.249, 0.167, 0.748), Pm at (0.250, 0.000, 0.252), Nd at (0.000, 0.500, 0.000), Dy at (0.000, 0.000, 0.500) and Dy at (0.000, 0.333, 0.500).